Entry from Alexandria: a relaxed NdNp6S8 crystal (PBE-GGA). Values from VASP.

## Properties
As for the formation energy from raw total energies: -1460 meV per atom. The total moment is 25.37 μB/f.u. Its crystal system is cubic.

Structure (Quantum ESPRESSO input):
```
&SYSTEM
  ibrav = 0, nat = 15, ntyp = 3
/
ATOMIC_SPECIES
S 32.06 S.upf
Np 237.00 Np.upf
Nd 144.24 Nd.upf
CELL_PARAMETERS angstrom
6.7875 0.0000 3.9188
2.2625 6.3993 3.9188
0.0000 0.0000 7.8376
ATOMIC_POSITIONS crystal
S 0.2565 0.2565 0.7435
S 0.7435 0.2565 0.2565
S 0.7435 0.7435 0.2565
S 0.7500 0.7500 0.7500
S 0.2500 0.2500 0.2500
S 0.2565 0.7435 0.7435
S 0.7435 0.2565 0.7435
S 0.2565 0.7435 0.2565
Np 0.0000 0.5000 0.5000
Np 0.5000 0.0000 0.5000
Np 0.5000 0.5000 0.0000
Np 0.5000 0.0000 0.0000
Np 0.0000 0.0000 0.5000
Np 0.0000 0.5000 0.0000
Nd 0.0000 0.0000 0.0000
```